[1]
CeTe2Pb, relaxed, DFT PBE-GGA; space-group type = P-3m1; energy relative to the elements, uncorrected = -0.859 eV/atom; energy = -58.08 eV/cell; M_tot = 1.27 μB per formula unit; D(E_F) = 22.67 states/eV/cell
1.0
-2.4800 2.8675 2.4875
2.6193 -3.0889 2.0393
17.4516 14.9259 0.1932
Pb Te Ce
3 6 3
Cartesian
3.8803 1.4288 2.2215
0.0000 0.0000 0.0000
13.7106 13.2757 2.4985
9.3199 9.5204 2.4499
4.5496 3.8911 0.0504
8.2710 5.1841 2.2701
16.8624 12.5321 2.3652
12.9020 11.0348 0.1428
0.7285 2.1724 2.3548
5.2304 6.0228 2.4047
12.3605 8.6817 2.3154
8.7258 7.4630 0.0966

=====

[2]
Ce3Te2Pb, relaxed, DFT PBE-GGA; space-group type = Immm; energy relative to the elements, uncorrected = -1.052 eV/atom; energy = -34.11 eV/cell; M_tot = 3.06 μB per formula unit; D(E_F) = 20.72 states/eV/cell
1.0
-1.4650 1.2479 -4.1309
5.9408 1.7544 -1.5769
-1.0169 -7.7111 0.5448
Ce Pb Te
3 1 2
Cartesian
3.0491 -2.6255 -4.3890
0.4098 -2.0833 -0.7739
2.2379 1.5011 -2.8539
-0.7325 0.6239 -2.0654
3.3767 -1.1900 -1.5577
0.0822 -3.5188 -3.6052

=====

[3]
Ce3Te2Pb, relaxed, DFT PBE-GGA; space-group type = C2/c; energy relative to the elements, uncorrected = -1.053 eV/atom; energy = -68.23 eV/cell; M_tot = 3.14 μB per formula unit; D(E_F) = 40.97 states/eV/cell
1.0
-5.7259 -1.8972 5.0546
-1.2956 -5.3940 -5.5070
6.1804 -0.6550 4.7406
Ce Te Pb
6 4 2
Cartesian
1.4333 -5.0948 2.8056
1.8380 -1.1108 0.6679
-0.6478 -2.6970 -2.7535
0.2273 -1.2761 4.8976
-2.2743 -2.8513 1.4827
-2.6790 -6.8354 3.6203
-3.7234 -5.6337 0.8426
-2.1041 -5.4734 -3.3894
1.2631 -2.4728 7.6777
2.8824 -2.3125 3.4457
0.3834 -3.8966 0.0203
-1.2244 -4.0496 4.2680

=====

Repeat the third record exactly.
Ce3Te2Pb, relaxed, DFT PBE-GGA; space-group type = C2/c; energy relative to the elements, uncorrected = -1.053 eV/atom; energy = -68.23 eV/cell; M_tot = 3.14 μB per formula unit; D(E_F) = 40.97 states/eV/cell
1.0
-5.7259 -1.8972 5.0546
-1.2956 -5.3940 -5.5070
6.1804 -0.6550 4.7406
Ce Te Pb
6 4 2
Cartesian
1.4333 -5.0948 2.8056
1.8380 -1.1108 0.6679
-0.6478 -2.6970 -2.7535
0.2273 -1.2761 4.8976
-2.2743 -2.8513 1.4827
-2.6790 -6.8354 3.6203
-3.7234 -5.6337 0.8426
-2.1041 -5.4734 -3.3894
1.2631 -2.4728 7.6777
2.8824 -2.3125 3.4457
0.3834 -3.8966 0.0203
-1.2244 -4.0496 4.2680

=====

- What is the energy in the third record?
  -68.23 eV/cell

=====

- Among the records above, which one has the lowest energy?
  number 3

=====

- The highest D(E_F) belongs to which entry?
  number 3